(one)
## SmTcN (PBE-GGA)

Data for a relaxed structure of SmTcN. Values from VASP.

Geometry as Quantum ESPRESSO input:
```
&SYSTEM
  ibrav = 0, nat = 3, ntyp = 3
/
ATOMIC_SPECIES
Sm 150.36 Sm.upf
Tc 98.00 Tc.upf
N 14.01 N.upf
ATOMIC_POSITIONS angstrom
Sm -2.0567 2.0078 -3.0841
Tc -2.1610 0.3122 -0.2160
N -0.0781 0.2076 -0.1176
CELL_PARAMETERS angstrom
-1.5635 4.1572 -2.3550
0.0561 -1.6370 -2.9270
-2.7883 0.0074 1.8642
```

(two)
## SmTcN (PBE-GGA)

Data for a relaxed structure of SmTcN. Values from VASP.

Geometry as Quantum ESPRESSO input:
```
&SYSTEM
  ibrav = 0, nat = 12, ntyp = 3
/
ATOMIC_SPECIES
Sm 150.36 Sm.upf
N 14.01 N.upf
Tc 98.00 Tc.upf
ATOMIC_POSITIONS angstrom
Sm -3.9512 0.7501 10.3332
Sm -1.9268 2.6027 12.5524
Sm -1.1224 0.5889 5.0919
Sm -3.1468 -1.2638 2.8727
N -1.0301 -0.0165 2.6717
N -4.0434 1.3554 12.7534
N -3.3039 -0.6418 5.2853
N -1.7697 1.9808 10.1398
Tc -1.7121 1.4822 8.1244
Tc -3.3614 -0.1432 7.3007
Tc -4.1933 1.8777 14.7580
Tc -0.8803 -0.5387 0.6671
CELL_PARAMETERS angstrom
-3.3505 0.8594 -0.3911
-0.9483 -3.3342 0.7978
-0.7748 3.8138 15.0184
```

Which structure is the least stable? The one labeled (one).

(one)
## Sm2TeN (PBE-GGA)

Data for a relaxed structure of Sm2TeN. Values from VASP.

Geometry as Quantum ESPRESSO input:
```
&SYSTEM
  ibrav = 0, nat = 16, ntyp = 3
/
ATOMIC_SPECIES
Te 127.60 Te.upf
Sm 150.36 Sm.upf
N 14.01 N.upf
ATOMIC_POSITIONS angstrom
Te -5.8379 -8.1772 -1.1353
Te -0.7627 -2.5301 -1.9702
Te -2.0590 -9.5190 -1.3607
Te -4.5416 -1.1882 -1.7448
Sm -4.0216 -6.4390 0.8304
Sm -2.8716 -3.3539 0.1487
Sm -0.8662 -6.6688 -1.0977
Sm -3.7290 -7.3533 -3.2541
Sm -7.5011 -5.7593 0.2775
Sm -5.7344 -4.0384 -2.0077
Sm -2.5791 -4.2682 -3.9359
Sm 0.9005 -4.9479 -3.3830
N -1.7008 -5.3629 0.6986
N -4.8999 -5.3443 -3.8041
N -5.2251 -4.5842 0.2621
N -1.3756 -6.1230 -3.3676
CELL_PARAMETERS angstrom
-6.3986 0.1196 -2.5630
1.9884 -4.3981 -5.1694
-2.1905 -6.4288 4.6270
```

(two)
## Sm2TeN (PBE-GGA)

Data for a relaxed structure of Sm2TeN. Values from VASP.

Geometry as Quantum ESPRESSO input:
```
&SYSTEM
  ibrav = 0, nat = 4, ntyp = 3
/
ATOMIC_SPECIES
Te 127.60 Te.upf
N 14.01 N.upf
Sm 150.36 Sm.upf
ATOMIC_POSITIONS angstrom
Te 3.8462 2.2206 3.5456
N 0.0000 0.0000 0.0000
Sm 5.7693 3.3309 5.7718
Sm 1.9231 1.1103 1.3193
CELL_PARAMETERS angstrom
3.8462 0.0000 0.0000
1.9231 3.3309 0.0000
1.9231 1.1103 7.0911
```

(three)
## Sm2TeN (PBE-GGA)

Data for a relaxed structure of Sm2TeN. Values from VASP.

Geometry as Quantum ESPRESSO input:
```
&SYSTEM
  ibrav = 0, nat = 4, ntyp = 3
/
ATOMIC_SPECIES
Sm 150.36 Sm.upf
Te 127.60 Te.upf
N 14.01 N.upf
ATOMIC_POSITIONS angstrom
Sm 1.9154 1.1059 5.8490
Sm 1.9154 1.1059 1.3509
Te 3.8308 2.2117 3.5877
N 5.7462 3.3176 7.1071
CELL_PARAMETERS angstrom
3.8308 0.0000 0.0000
1.9154 3.3176 0.0000
1.9154 1.1059 7.1579
```

Which structure is the least stable? The one labeled (one).

(one)
## Sm3Te2N2 (PBE-GGA)

Data for a relaxed structure of Sm3Te2N2. Values from VASP.

Geometry as Quantum ESPRESSO input:
```
&SYSTEM
  ibrav = 0, nat = 7, ntyp = 3
/
ATOMIC_SPECIES
N 14.01 N.upf
Te 127.60 Te.upf
Sm 150.36 Sm.upf
ATOMIC_POSITIONS angstrom
N -1.2375 -4.1166 1.6915
N -2.2270 -3.9863 8.7920
Te -3.2134 -3.0332 4.8464
Te -0.2510 -5.0697 5.6370
Sm -3.1920 -5.6512 7.4652
Sm 0.0000 0.0000 0.0000
Sm -0.2725 -2.4517 3.0182
CELL_PARAMETERS angstrom
-2.2154 -3.3190 -0.2479
2.5913 -4.4681 4.4231
-3.8403 -0.3158 6.3081
```

(two)
## Sm3Te2N2 (PBE-GGA)

Data for a relaxed structure of Sm3Te2N2. Values from VASP.

Geometry as Quantum ESPRESSO input:
```
&SYSTEM
  ibrav = 0, nat = 14, ntyp = 3
/
ATOMIC_SPECIES
Te 127.60 Te.upf
Sm 150.36 Sm.upf
N 14.01 N.upf
ATOMIC_POSITIONS angstrom
Te -2.6655 -0.8155 1.4984
Te -2.2504 2.8451 3.6863
Te -6.2248 2.7062 9.4835
Te -6.6400 -0.9544 7.2955
Sm -6.2014 -1.7593 3.5787
Sm -2.6890 3.6499 7.4031
Sm -2.9560 0.0536 5.2152
Sm -4.6653 1.4546 2.1864
Sm 0.0000 0.0000 0.0000
Sm -5.9343 1.8370 5.7666
N -8.2449 2.4368 6.3634
N -0.6455 -0.5462 4.6184
N -3.8279 1.5523 6.8053
N -5.0624 0.3383 4.1765
CELL_PARAMETERS angstrom
-2.5441 5.8560 4.3749
-6.7865 -2.9468 -0.0021
0.4403 -1.0186 6.6090
```

Which structure is the least stable? The one labeled (two).

(one)
## SmTh2N3 (PBE-GGA)

Data for a relaxed structure of SmTh2N3. Values from VASP.

Geometry as Quantum ESPRESSO input:
```
&SYSTEM
  ibrav = 0, nat = 24, ntyp = 3
/
ATOMIC_SPECIES
Th 232.04 Th.upf
N 14.01 N.upf
Sm 150.36 Sm.upf
ATOMIC_POSITIONS angstrom
Th 0.8628 -2.8115 1.1293
Th -6.6354 -2.0608 8.9752
Th -4.7754 -0.1359 0.4719
Th -5.1827 -2.8202 2.9302
Th -3.7491 0.3753 3.9230
Th -2.6681 -3.0720 0.2990
Th -7.3155 0.1184 3.1299
Th -6.2637 0.6271 6.5542
N -7.8675 1.8138 4.9815
N -4.7330 -0.5523 8.2034
N -2.0772 -4.7531 -1.5303
N -4.2890 2.0695 5.7620
N -0.7189 -1.6451 -0.5297
N -6.7246 -1.5627 1.3006
N -4.6042 -4.5440 1.1309
N -4.1849 -1.8608 -1.3400
N -5.7117 -1.0682 4.7026
N -3.2586 -1.3470 2.1109
N -5.3664 1.5453 2.3012
N -1.0782 -4.2904 1.8614
Sm -1.2524 0.1254 1.3105
Sm -1.6339 -2.5615 3.7417
Sm -7.6793 -2.5702 5.5427
Sm -4.1388 -2.3107 6.3628
CELL_PARAMETERS angstrom
-4.5572 -0.7717 -4.2814
1.7611 -5.6265 2.2214
-6.1357 3.9533 8.9132
```

(two)
## SmTh2N3 (PBE-GGA)

Data for a relaxed structure of SmTh2N3. Values from VASP.

Geometry as Quantum ESPRESSO input:
```
&SYSTEM
  ibrav = 0, nat = 12, ntyp = 3
/
ATOMIC_SPECIES
Sm 150.36 Sm.upf
N 14.01 N.upf
Th 232.04 Th.upf
ATOMIC_POSITIONS angstrom
Sm 1.6926 3.2570 4.2199
Sm 5.0779 3.2554 4.2211
N 5.0779 0.9264 3.2612
N 5.0779 5.2530 2.6799
N 5.0779 3.5929 6.7174
N 1.6926 5.5859 5.1798
N 1.6926 1.2594 5.7611
N 1.6926 2.9194 1.7236
Th 3.3853 5.4272 7.0344
Th 3.3853 1.0852 1.4065
Th 0.0000 5.4272 7.0344
Th 0.0000 1.0852 1.4065
CELL_PARAMETERS angstrom
6.7705 0.0000 0.0000
0.0000 5.6920 2.3412
0.0000 0.8204 6.0998
```

Which structure is the least stable? The one labeled (two).

(one)
## SmThN (PBE-GGA)

Data for a relaxed structure of SmThN. Values from VASP.

Geometry as Quantum ESPRESSO input:
```
&SYSTEM
  ibrav = 0, nat = 3, ntyp = 3
/
ATOMIC_SPECIES
Th 232.04 Th.upf
Sm 150.36 Sm.upf
N 14.01 N.upf
ATOMIC_POSITIONS angstrom
Th -1.9527 0.2104 3.5234
Sm -0.5077 0.2394 0.3518
N -2.2685 -1.2003 1.4886
CELL_PARAMETERS angstrom
-2.0117 -2.8809 -0.9429
2.0358 -0.1106 3.0132
-4.7531 2.2410 3.2936
```

(two)
## SmThN (PBE-GGA)

Data for a relaxed structure of SmThN. Values from VASP.

Geometry as Quantum ESPRESSO input:
```
&SYSTEM
  ibrav = 0, nat = 6, ntyp = 3
/
ATOMIC_SPECIES
Sm 150.36 Sm.upf
Th 232.04 Th.upf
N 14.01 N.upf
ATOMIC_POSITIONS angstrom
Sm 0.0000 2.5951 11.5163
Sm 1.7340 0.8650 1.3813
Th 1.7340 2.5951 7.8772
Th 0.0000 0.8650 5.0204
N 1.7340 2.5951 5.5040
N 0.0000 0.8650 7.3936
CELL_PARAMETERS angstrom
3.4680 0.0000 0.0000
0.0000 3.4602 0.0000
-1.7340 0.0000 12.8975
```

(three)
## SmThN (PBE-GGA)

Data for a relaxed structure of SmThN. Values from VASP.

Geometry as Quantum ESPRESSO input:
```
&SYSTEM
  ibrav = 0, nat = 3, ntyp = 3
/
ATOMIC_SPECIES
Th 232.04 Th.upf
Sm 150.36 Sm.upf
N 14.01 N.upf
ATOMIC_POSITIONS angstrom
Th -5.3151 -1.0936 -0.1002
Sm 0.0000 0.0000 0.0000
N -2.6576 -0.5468 -0.0501
CELL_PARAMETERS angstrom
-4.0366 1.7190 -0.6233
-3.1606 -2.4172 -1.9508
-3.4331 -1.4890 2.3738
```

Which structure is the least stable? The one labeled (three).

(one)
## Sm6Tl2N (PBE-GGA)

Data for a relaxed structure of Sm6Tl2N. Values from VASP.

Geometry as Quantum ESPRESSO input:
```
&SYSTEM
  ibrav = 0, nat = 9, ntyp = 3
/
ATOMIC_SPECIES
Tl 204.38 Tl.upf
Sm 150.36 Sm.upf
N 14.01 N.upf
ATOMIC_POSITIONS angstrom
Tl 0.0000 0.2024 5.0155
Tl 0.0000 4.8731 2.6559
Sm 1.7998 5.5829 0.0000
Sm 1.7998 2.1659 3.1366
Sm 1.7998 -2.5049 4.5348
Sm 0.0000 2.3841 0.0000
Sm 0.0000 -0.9424 1.6143
Sm 0.0000 3.7283 6.0571
N 1.7998 7.8645 0.0000
CELL_PARAMETERS angstrom
3.5997 0.0000 0.0000
0.0000 9.3414 0.0000
0.0000 -4.6707 7.6714
```

(two)
## Sm6Tl2N (PBE-GGA)

Data for a relaxed structure of Sm6Tl2N. Values from VASP.

Geometry as Quantum ESPRESSO input:
```
&SYSTEM
  ibrav = 0, nat = 9, ntyp = 3
/
ATOMIC_SPECIES
Sm 150.36 Sm.upf
Tl 204.38 Tl.upf
N 14.01 N.upf
ATOMIC_POSITIONS angstrom
Sm 9.3833 0.7957 4.0241
Sm 4.8850 2.2207 5.2443
Sm 7.5164 0.7553 6.9206
Sm 6.2771 -0.6972 4.0508
Sm 6.7520 2.2610 2.3478
Sm 7.9912 3.7136 5.2176
Tl 3.5656 0.7534 2.3171
Tl 10.7028 2.2629 6.9513
N 7.1342 1.5082 4.6342
CELL_PARAMETERS angstrom
2.5292 2.9685 5.8783
5.3791 -3.0049 3.4350
6.3600 3.0527 -0.0449
```

Which structure is the least stable? The one labeled (one).

(one)
## SmTmN (PBE-GGA)

Data for a relaxed structure of SmTmN. Values from VASP.

Geometry as Quantum ESPRESSO input:
```
&SYSTEM
  ibrav = 0, nat = 3, ntyp = 3
/
ATOMIC_SPECIES
Tm 168.93 Tm.upf
N 14.01 N.upf
Sm 150.36 Sm.upf
ATOMIC_POSITIONS angstrom
Tm 6.6999 7.9486 11.3645
N 5.0874 3.7818 5.4070
Sm 2.5719 3.5471 5.0714
CELL_PARAMETERS angstrom
4.6322 2.4869 3.5557
1.9579 4.7449 3.7272
1.9579 1.8735 5.7355
```

(two)
## SmTmN (PBE-GGA)

Data for a relaxed structure of SmTmN. Values from VASP.

Geometry as Quantum ESPRESSO input:
```
&SYSTEM
  ibrav = 0, nat = 3, ntyp = 3
/
ATOMIC_SPECIES
Sm 150.36 Sm.upf
Tm 168.93 Tm.upf
N 14.01 N.upf
ATOMIC_POSITIONS angstrom
Sm 0.0000 0.0000 0.0000
Tm 4.2676 2.4639 1.7422
N 2.1338 1.2319 0.8711
CELL_PARAMETERS angstrom
4.2676 0.0000 0.0000
2.1338 3.6958 0.0000
2.1338 1.2319 3.4844
```

Which structure is the least stable? The one labeled (two).

(one)
## SmTm2N (PBE-GGA)

Data for a relaxed structure of SmTm2N. Values from VASP.

Geometry as Quantum ESPRESSO input:
```
&SYSTEM
  ibrav = 0, nat = 4, ntyp = 3
/
ATOMIC_SPECIES
Sm 150.36 Sm.upf
N 14.01 N.upf
Tm 168.93 Tm.upf
ATOMIC_POSITIONS angstrom
Sm 0.0000 0.0000 0.0000
N -0.9295 -6.0787 -0.1776
Tm -2.8523 -5.9880 -1.5452
Tm 0.9933 -6.1693 1.1900
CELL_PARAMETERS angstrom
-3.0836 -1.4294 0.0172
-1.1246 -1.6480 -2.7516
2.3491 -9.0800 2.3792
```

(two)
## SmTm2N (PBE-GGA)

Data for a relaxed structure of SmTm2N. Values from VASP.

Geometry as Quantum ESPRESSO input:
```
&SYSTEM
  ibrav = 0, nat = 4, ntyp = 3
/
ATOMIC_SPECIES
Tm 168.93 Tm.upf
N 14.01 N.upf
Sm 150.36 Sm.upf
ATOMIC_POSITIONS angstrom
Tm 0.0000 0.0000 7.3533
Tm 0.0000 0.0000 1.3996
N 1.5694 1.5694 0.0000
Sm 1.5694 1.5694 4.3765
CELL_PARAMETERS angstrom
3.1388 0.0000 0.0000
0.0000 3.1388 0.0000
0.0000 0.0000 8.7530
```

Which structure is the least stable? The one labeled (two).

(one)
## Sm3TmN4 (PBE-GGA)

Data for a relaxed structure of Sm3TmN4. Values from VASP.

Geometry as Quantum ESPRESSO input:
```
&SYSTEM
  ibrav = 0, nat = 16, ntyp = 3
/
ATOMIC_SPECIES
Tm 168.93 Tm.upf
N 14.01 N.upf
Sm 150.36 Sm.upf
ATOMIC_POSITIONS angstrom
Tm 4.6013 0.0422 6.2118
Tm 1.5338 0.0141 0.8804
N 4.5340 4.4308 6.2222
N -1.5458 4.3424 2.6065
N 1.5218 4.3705 4.4857
N -0.4961 1.3927 0.8701
N 2.5161 1.4530 2.6065
N 2.5714 1.4208 6.2222
N 1.4665 4.4027 0.8701
N 5.5836 1.4811 4.4857
Sm 3.5527 2.9258 0.8800
Sm 0.4852 2.8977 2.6380
Sm 1.5338 0.0141 4.4515
Sm 0.4852 2.8977 6.2123
Sm 3.5527 2.9258 4.4542
Sm 4.6013 0.0422 2.6407
CELL_PARAMETERS angstrom
6.1350 0.0562 0.0000
-2.0972 5.7672 0.0000
0.0000 0.0000 7.0922
```

(two)
## Sm3TmN4 (PBE-GGA)

Data for a relaxed structure of Sm3TmN4. Values from VASP.

Geometry as Quantum ESPRESSO input:
```
&SYSTEM
  ibrav = 0, nat = 8, ntyp = 3
/
ATOMIC_SPECIES
Sm 150.36 Sm.upf
Tm 168.93 Tm.upf
N 14.01 N.upf
ATOMIC_POSITIONS angstrom
Sm -0.1723 -1.5917 3.1647
Sm -0.9183 -3.4188 0.2179
Sm -3.1475 -0.9076 1.3595
Tm 0.0000 0.0000 0.0000
N -1.2007 0.4597 2.1532
N -1.9467 -1.3673 -0.7937
N -2.1190 -2.9590 2.3711
N 1.0285 -2.0514 1.0115
CELL_PARAMETERS angstrom
-2.4015 0.9195 4.3063
-3.8935 -2.7347 -1.5873
2.0569 -4.1028 2.0231
```

Which structure is the least stable? The one labeled (two).

(one)
## Sm3UN4 (PBE-GGA)

Data for a relaxed structure of Sm3UN4. Values from VASP.

Geometry as Quantum ESPRESSO input:
```
&SYSTEM
  ibrav = 0, nat = 8, ntyp = 3
/
ATOMIC_SPECIES
Sm 150.36 Sm.upf
N 14.01 N.upf
U 238.03 U.upf
ATOMIC_POSITIONS angstrom
Sm -1.2717 -2.7503 -0.3915
Sm -0.7494 -2.3758 3.0816
Sm 1.8657 -0.0964 2.4175
N 0.9610 -0.9289 4.6130
N 0.2666 -1.2777 0.9093
N 0.9215 -4.4156 3.1426
N -2.4599 -3.8226 1.5501
U -1.3435 0.4709 1.0556
CELL_PARAMETERS angstrom
-2.6870 0.9418 2.1112
-2.5433 -5.5006 -0.7831
3.7314 -0.1928 4.8350
```

(two)
## Sm3UN4 (PBE-GGA)

Data for a relaxed structure of Sm3UN4. Values from VASP.

Geometry as Quantum ESPRESSO input:
```
&SYSTEM
  ibrav = 0, nat = 16, ntyp = 3
/
ATOMIC_SPECIES
Sm 150.36 Sm.upf
N 14.01 N.upf
U 238.03 U.upf
ATOMIC_POSITIONS angstrom
Sm 0.4797 2.8920 6.1929
Sm 4.5816 0.0372 2.6646
Sm 0.4797 2.8920 2.6695
Sm 3.5341 2.9168 0.8837
Sm 3.5341 2.9168 4.4072
Sm 1.5272 0.0124 4.4121
N -0.4399 1.2662 0.7866
N 1.5847 4.4496 4.5746
N 2.6145 1.2909 6.2901
N 1.3994 4.5179 0.7866
N 5.4836 1.3840 4.5746
N 4.4537 4.5427 6.2901
N 2.4292 1.3593 2.5021
N -1.4697 4.4248 2.5021
U 4.5816 0.0372 6.1744
U 1.5272 0.0124 0.9023
CELL_PARAMETERS angstrom
6.1088 0.0495 0.0000
-2.0949 5.7593 0.0000
0.0000 0.0000 7.0767
```

Which structure is the least stable? The one labeled (one).

(one)
## Sm2UN3 (PBE-GGA)

Data for a relaxed structure of Sm2UN3. Values from VASP.

Geometry as Quantum ESPRESSO input:
```
&SYSTEM
  ibrav = 0, nat = 12, ntyp = 3
/
ATOMIC_SPECIES
N 14.01 N.upf
Sm 150.36 Sm.upf
U 238.03 U.upf
ATOMIC_POSITIONS angstrom
N 4.8467 -3.2790 -5.4486
N 3.8881 -5.5460 -7.2135
N 3.6798 -6.3012 -4.3999
N -1.1258 -3.6104 -1.6774
N -0.1672 -1.3433 0.0875
N 0.0411 -0.5882 -2.7261
Sm 4.1399 -1.2542 -4.5474
Sm 2.3288 -4.6980 -5.4749
Sm 1.3921 -2.1914 -1.6511
Sm -0.4190 -5.6351 -2.5786
U -0.7690 -3.3804 0.5954
U -1.3141 0.0841 -1.2197
CELL_PARAMETERS angstrom
-2.6282 0.1683 -2.4394
7.8872 -0.2969 -5.8775
-1.5381 -6.7608 1.1909
```

(two)
## Sm2UN3 (PBE-GGA)

Data for a relaxed structure of Sm2UN3. Values from VASP.

Geometry as Quantum ESPRESSO input:
```
&SYSTEM
  ibrav = 0, nat = 12, ntyp = 3
/
ATOMIC_SPECIES
N 14.01 N.upf
U 238.03 U.upf
Sm 150.36 Sm.upf
ATOMIC_POSITIONS angstrom
N 5.3891 0.3176 2.0792
N 2.3558 1.5619 1.1578
N -0.5852 2.9926 -0.1057
N 2.4481 -1.4890 2.6954
N -1.6632 2.6896 3.1001
N 1.3701 1.4453 4.0215
U 0.3463 2.2416 2.0617
U 3.3796 0.7656 3.1176
Sm 3.3796 3.8519 1.3257
Sm 0.3463 -0.8447 3.8536
Sm 0.3463 5.2616 0.3082
Sm 3.3796 -2.2544 4.8711
CELL_PARAMETERS angstrom
6.0667 0.1728 0.2976
-1.1704 5.9853 -0.2114
-1.1704 -3.1509 5.0931
```

Which structure is the least stable? The one labeled (one).